i | RbLiCu2: optimized geometry, PBE.

Properties
Calculated volume   25.6 Å³/atom
Theoretical density   3.55 g/cm3

a b c (Å): 5.2536 5.2536 5.2536
angles (deg): 60.00 60.00 60.00
Positions (direct):
1 Cu 0.2500 0.2500 0.2500
2 Cu 0.7500 0.7500 0.7500
3 Rb 0.5000 0.5000 0.5000
4 Li 0.0000 0.0000 0.0000

ii | RbLiCu2: optimized geometry, PBE.

Properties
Calculated volume   27.4 Å³/atom
Theoretical density   3.33 g/cm3

a b c (Å): 4.9577 4.9577 9.5730
angles (deg): 74.99 74.99 90.00
Positions (direct):
1 Cu 0.3751 0.1250 0.2500
2 Cu 0.3749 0.6250 0.2500
3 Cu 0.3750 0.6249 0.7500
4 Cu 0.8750 0.6251 0.7500
5 Rb 0.0000 0.0000 0.0000
6 Rb 0.7500 0.2500 0.5000
7 Li 0.5000 0.5000 0.0000
8 Li 0.2500 0.7500 0.5000

It is i that is the least stable of them.